No. 1
First-principles (GGA-PBEsol) data for Ba2PtW after structural relaxation, as listed in Alexandria.

Cell: 3.9454 3.9454 7.1828 Å, 90.00 90.00 90.00°
Last column: nearest neighbours and their distance in Å.
Space group P4/mmm (No. 123)
Symmetry-distinct sites (fractional):
1 Ba 0.0000 0.0000 0.2342 x2  4 Pt 3.26, 1 Ba 3.36, 4 W 3.38
2 Pt 0.5000 0.5000 0.0000 x1  8 Ba 3.26, 2 W 3.59
3 W 0.5000 0.5000 0.5000 x1  8 Ba 3.38, 2 Pt 3.59

Computed properties:
- Final energy: -21.5 eV/f.u.
- Mass density: 9.71 g/cm3
- Calculated formation energy: 896.3 meV per atom
- Energy above the most stable polymorph in this dataset: 44.0 meV per atom

=====

No. 2
First-principles (GGA-PBEsol) data for BaPt2W after structural relaxation, as listed in Alexandria.

Cell: 2.9388 4.2443 7.4259 Å, 90.00 90.00 90.00°
Last column: nearest neighbours and their distance in Å.
Space group Pmm2 (No. 25)
Symmetry-distinct sites (fractional):
1 Ba 0.0000 0.0000 0.0000 x1  2 Ba 2.94, 6 Pt 3.19-3.22
2 Pt 0.5000 0.0000 0.3860 x1  4 W 2.65, 2 Pt 2.94
3 Pt 0.5000 0.5000 0.7478 x1  2 W 2.55
4 W 0.0000 0.5000 0.4675 x1  6 Pt 2.55-2.65

Computed properties:
- Final energy: -29.1 eV/f.u.
- Mass density: 12.75 g/cm3
- Calculated formation energy: 194.7 meV per atom
- Energy above the most stable polymorph in this dataset: 0.0 meV per atom

=====

No. 3
First-principles (GGA-PBEsol) data for BaPt3W after structural relaxation, as listed in Alexandria.

Cell: 5.1033 5.1033 5.1033 Å, 90.00 90.00 90.00°
Last column: nearest neighbours and their distance in Å.
Space group Pm-3m (No. 221)
Symmetry-distinct sites (fractional):
1 Ba 0.0000 0.0000 0.0000 x1  6 Pt 2.55
2 Pt 0.0000 0.0000 0.5000 x3  2 Ba 2.55
3 W 0.5000 0.5000 0.5000 x1  12 Pt 3.61

Computed properties:
- Final energy: -23.0 eV/f.u.
- Mass density: 11.32 g/cm3
- Calculated formation energy: 2771.3 meV per atom

=====

No. 4
First-principles (GGA-PBEsol) data for BaYPt2 after structural relaxation, as listed in Alexandria.

Cell: 4.2251 4.2251 5.9761 Å, 90.00 90.00 90.00°
Last column: nearest neighbours and their distance in Å.
Space group P4/mmm (No. 123)
Symmetry-distinct sites (fractional):
1 Ba 0.0000 0.0000 0.0000 x1  6 Pt 2.99
2 Y 0.5000 0.5000 0.5000 x1  6 Pt 2.99
3 Pt 0.0000 0.0000 0.5000 x1  4 Y 2.99, 2 Ba 2.99
4 Pt 0.5000 0.5000 0.0000 x1  4 Ba 2.99, 2 Y 2.99

Computed properties:
- Final energy: -25.2 eV/f.u.
- Mass density: 9.59 g/cm3
- Calculated formation energy: -584.3 meV per atom
- Energy above the most stable polymorph in this dataset: 309.2 meV per atom

=====

No. 5
First-principles (GGA-PBEsol) data for BaYPt2 after structural relaxation, as listed in Alexandria.

Cell: 3.9268 4.3546 6.3320 Å, 90.00 107.99 90.00°
Last column: nearest neighbours and their distance in Å.
Space group Pm (No. 6)
Symmetry-distinct sites (fractional):
1 Ba 0.0000 0.0000 0.0000 x1  7 Pt 3.14-3.47
2 Y 0.2690 0.5000 0.5391 x1  6 Pt 2.88-2.96
3 Pt 0.5940 0.5000 0.1886 x1  2 Pt 2.77, 2 Y 2.88
4 Pt 0.7364 0.0000 0.4740 x1  2 Pt 2.77, 4 Y 2.96

Computed properties:
- Final energy: -26.0 eV/f.u.
- Mass density: 9.94 g/cm3
- Calculated formation energy: -784.8 meV per atom
- Energy above the most stable polymorph in this dataset: 108.7 meV per atom

=====

No. 6
First-principles (GGA-PBEsol) data for BaYPt2 after structural relaxation, as listed in Alexandria.

Cell: 3.5584 3.5584 7.4584 Å, 90.00 90.00 90.00°
Last column: nearest neighbours and their distance in Å.
Space group P4/mmm (No. 123)
Symmetry-distinct sites (fractional):
1 Ba 0.0000 0.0000 0.0000 x1  8 Pt 3.36, 4 Ba 3.56, 2 Y 3.73
2 Y 0.0000 0.0000 0.5000 x1  8 Pt 2.93
3 Pt 0.5000 0.5000 0.2993 x2  4 Y 2.93, 1 Pt 2.99

Computed properties:
- Final energy: -26.5 eV/f.u.
- Mass density: 10.84 g/cm3
- Calculated formation energy: -893.5 meV per atom
- Energy above the most stable polymorph in this dataset: 0.0 meV per atom